# 1
Entry from the Alexandria database: a relaxed Hg3Se2Cl2 crystal (PBE).

Values from the calculation:
Total moment (μB per formula unit): 0.000
Offset from the most stable computed form (meV/atom): 62
Total energy (eV per atom): -2.022
Formation energy from raw total energies (eV per atom): -0.370

a b c (Å): 4.6886 7.0752 7.0770
angles (deg): 76.64 84.73 88.49
Last column: nearest neighbours and their distance in Å.
Fractional positions:
Hg1 0.0000 0.0000 0.0000  2 Se 2.51
Hg2 0.1891 0.7540 0.5027  1 Cl 2.42, 1 Se 2.53
Hg3 0.8109 0.2460 0.4973  1 Cl 2.42, 1 Se 2.53
Se1 0.2869 0.0722 0.2579  2 Hg 2.51-2.53
Se2 0.7131 0.9278 0.7421  2 Hg 2.51-2.53
Cl1 0.2171 0.4359 0.7203  1 Hg 2.42
Cl2 0.7829 0.5641 0.2797  1 Hg 2.42



# 2
Entry from the Alexandria database: a relaxed PrSnTe2 crystal (PBE).

Values from the calculation:
Total moment (μB per formula unit): 0.000
Total energy (eV per atom): -4.015
Formation energy from raw total energies (eV per atom): -0.248

a b c (Å): 10.0452 10.0452 10.0452
angles (deg): 24.53 24.53 24.53
Last column: nearest neighbours and their distance in Å.
Fractional positions:
Pr1 0.0000 0.0000 0.0000  2 Te 3.05
Sn1 0.5000 0.5000 0.5000  6 Te 3.06
Te1 0.1045 0.1045 0.1045  1 Pr 3.05, 3 Sn 3.06
Te2 0.8955 0.8955 0.8955  1 Pr 3.05, 3 Sn 3.06